# 1
A geometry-optimized YBi2Rh2 structure. Source: the Alexandria database, functional PBE.

Cell and atoms, written as CIF:
```
data_YBi2Rh2
_cell_length_a 7.558
_cell_length_b 7.558
_cell_length_c 3.903
_cell_angle_alpha 90.00
_cell_angle_beta 90.00
_cell_angle_gamma 90.00
_space_group_name_H-M_alt 'P 1'
_space_group_IT_number 1
_space_group_name_Hall 'P 1'
loop_
_atom_site_label
_atom_site_fract_x
_atom_site_fract_y
_atom_site_fract_z
Y1 0.000 0.000 0.000
Y2 0.500 0.500 0.000
Bi1 0.164 0.336 0.500
Bi2 0.336 0.836 0.500
Bi3 0.664 0.164 0.500
Bi4 0.836 0.664 0.500
Rh1 0.132 0.632 0.000
Rh2 0.368 0.132 0.000
Rh3 0.632 0.868 0.000
Rh4 0.868 0.368 0.000
```

Crystal system: tetragonal
Energy above the lowest structure with this stoichiometry: 176 meV per atom
Formation enthalpy at 0 K: -0.32 eV/atom
Energy: -61.1 eV for the cell shown

# 2
A geometry-optimized Ce3Sn5Se12 structure. Source: the Alexandria database, functional PBE.

Cell and atoms, written as CIF:
```
data_Ce3Sn5Se12
_cell_length_a 14.640
_cell_length_b 14.640
_cell_length_c 14.640
_cell_angle_alpha 109.47
_cell_angle_beta 109.47
_cell_angle_gamma 109.47
_space_group_name_H-M_alt 'P 1'
_space_group_IT_number 1
_space_group_name_Hall 'P 1'
loop_
_atom_site_label
_atom_site_fract_x
_atom_site_fract_y
_atom_site_fract_z
Ce1 0.125 0.250 0.375
Ce2 0.125 0.375 0.750
Ce3 0.250 0.375 0.125
Ce4 0.250 0.875 0.625
Ce5 0.375 0.125 0.250
Ce6 0.375 0.750 0.125
Ce7 0.625 0.250 0.875
Ce8 0.625 0.875 0.750
Ce9 0.750 0.125 0.375
Ce10 0.750 0.625 0.875
Ce11 0.875 0.625 0.250
Ce12 0.875 0.750 0.625
Sn1 0.000 0.000 0.000
Sn2 0.000 0.000 0.500
Sn3 0.000 0.500 0.000
Sn4 0.000 0.500 0.500
Sn5 0.125 0.750 0.875
Sn6 0.125 0.875 0.250
Sn7 0.250 0.125 0.875
Sn8 0.250 0.625 0.375
Sn9 0.375 0.250 0.625
Sn10 0.375 0.625 0.750
Sn11 0.500 0.000 0.000
Sn12 0.500 0.000 0.500
Sn13 0.500 0.500 0.000
Sn14 0.500 0.500 0.500
Sn15 0.625 0.375 0.250
Sn16 0.625 0.750 0.375
Sn17 0.750 0.375 0.625
Sn18 0.750 0.875 0.125
Sn19 0.875 0.125 0.750
Sn20 0.875 0.250 0.125
Se1 0.050 0.222 0.137
Se2 0.050 0.327 0.912
Se3 0.085 0.722 0.673
Se4 0.085 0.863 0.412
Se5 0.088 0.637 0.415
Se6 0.088 0.950 0.673
Se7 0.137 0.050 0.222
Se8 0.137 0.588 0.915
Se9 0.173 0.222 0.585
Se10 0.173 0.450 0.588
Se11 0.222 0.137 0.050
Se12 0.222 0.585 0.173
Se13 0.278 0.327 0.915
Se14 0.278 0.450 0.363
Se15 0.327 0.912 0.050
Se16 0.327 0.915 0.278
Se17 0.363 0.278 0.450
Se18 0.363 0.585 0.912
Se19 0.412 0.085 0.863
Se20 0.412 0.827 0.550
Se21 0.415 0.088 0.637
Se22 0.415 0.827 0.778
Se23 0.450 0.363 0.278
Se24 0.450 0.588 0.173
Se25 0.550 0.412 0.827
Se26 0.550 0.637 0.722
Se27 0.585 0.173 0.222
Se28 0.585 0.912 0.363
Se29 0.588 0.173 0.450
Se30 0.588 0.915 0.137
Se31 0.637 0.415 0.088
Se32 0.637 0.722 0.550
Se33 0.673 0.085 0.722
Se34 0.673 0.088 0.950
Se35 0.722 0.550 0.637
Se36 0.722 0.673 0.085
Se37 0.778 0.415 0.827
Se38 0.778 0.863 0.950
Se39 0.827 0.550 0.412
Se40 0.827 0.778 0.415
Se41 0.863 0.412 0.085
Se42 0.863 0.950 0.778
Se43 0.912 0.050 0.327
Se44 0.912 0.363 0.585
Se45 0.915 0.137 0.588
Se46 0.915 0.278 0.327
Se47 0.950 0.673 0.088
Se48 0.950 0.778 0.863
```

Crystal system: cubic
Energy: -387.5 eV for the cell shown
Formation energy from raw total energies: -0.862 eV per atom

# 3
A geometry-optimized HoSc3O structure. Source: the Alexandria database, functional PBE.

Cell and atoms, written as CIF:
```
data_HoSc3O
_cell_length_a 6.035
_cell_length_b 5.228
_cell_length_c 6.589
_cell_angle_alpha 90.00
_cell_angle_beta 90.24
_cell_angle_gamma 90.00
_space_group_name_H-M_alt 'P 1'
_space_group_IT_number 1
_space_group_name_Hall 'P 1'
loop_
_atom_site_label
_atom_site_fract_x
_atom_site_fract_y
_atom_site_fract_z
Ho1 0.156 0.000 0.249
Ho2 0.844 0.500 0.751
Sc1 0.189 0.013 0.749
Sc2 0.369 0.503 0.503
Sc3 0.370 0.502 0.997
Sc4 0.630 0.002 0.003
Sc5 0.631 0.003 0.497
Sc6 0.811 0.513 0.251
O1 0.496 0.750 0.250
O2 0.504 0.250 0.750
```

Crystal system: monoclinic
Energy above the lowest structure with this stoichiometry: 0 meV per atom
Energy: -68.4 eV for the cell shown
Formation energy from raw total energies: -1.132 eV per atom

# 4
A geometry-optimized LiCoTc2 structure. Source: the Alexandria database, functional PBE.

Cell and atoms, written as CIF:
```
data_LiCoTc2
_cell_length_a 2.621
_cell_length_b 3.842
_cell_length_c 5.106
_cell_angle_alpha 90.00
_cell_angle_beta 90.00
_cell_angle_gamma 90.00
_space_group_name_H-M_alt 'P 1'
_space_group_IT_number 1
_space_group_name_Hall 'P 1'
loop_
_atom_site_label
_atom_site_fract_x
_atom_site_fract_y
_atom_site_fract_z
Li1 0.000 0.000 0.000
Co1 0.500 0.500 0.784
Tc1 0.000 0.000 0.515
Tc2 0.500 0.500 0.255
```

Crystal system: orthorhombic
Energy above the lowest structure with this stoichiometry: 85 meV per atom
Formation enthalpy at 0 K: 0.26 eV/atom
Energy: -28.7 eV for the cell shown

# 5
A geometry-optimized CdPtSe2 structure. Source: the Alexandria database, functional PBE.

Cell and atoms, written as CIF:
```
data_CdPtSe2
_cell_length_a 5.956
_cell_length_b 5.956
_cell_length_c 12.077
_cell_angle_alpha 90.00
_cell_angle_beta 90.00
_cell_angle_gamma 90.00
_space_group_name_H-M_alt 'P 1'
_space_group_IT_number 1
_space_group_name_Hall 'P 1'
loop_
_atom_site_label
_atom_site_fract_x
_atom_site_fract_y
_atom_site_fract_z
Cd1 0.000 0.000 0.000
Cd2 0.000 0.500 0.250
Cd3 0.500 0.000 0.750
Cd4 0.500 0.500 0.500
Pt1 0.000 0.000 0.500
Pt2 0.000 0.500 0.750
Pt3 0.500 0.000 0.250
Pt4 0.500 0.500 0.000
Se1 0.210 0.250 0.625
Se2 0.250 0.710 0.875
Se3 0.250 0.790 0.375
Se4 0.290 0.250 0.125
Se5 0.710 0.750 0.125
Se6 0.750 0.210 0.375
Se7 0.750 0.290 0.875
Se8 0.790 0.750 0.625
```

Crystal system: tetragonal
Energy: -59.2 eV for the cell shown
Formation energy from raw total energies: -0.216 eV per atom

# 6
A geometry-optimized Co2RhC2 structure. Source: the Alexandria database, functional PBE.

Cell and atoms, written as CIF:
```
data_Co2RhC2
_cell_length_a 5.764
_cell_length_b 5.764
_cell_length_c 2.698
_cell_angle_alpha 90.00
_cell_angle_beta 90.00
_cell_angle_gamma 90.00
_space_group_name_H-M_alt 'P 1'
_space_group_IT_number 1
_space_group_name_Hall 'P 1'
loop_
_atom_site_label
_atom_site_fract_x
_atom_site_fract_y
_atom_site_fract_z
Co1 0.139 0.361 0.000
Co2 0.361 0.861 0.000
Co3 0.639 0.139 0.000
Co4 0.861 0.639 0.000
Rh1 0.000 0.000 0.500
Rh2 0.500 0.500 0.500
C1 0.146 0.646 0.500
C2 0.354 0.146 0.500
C3 0.646 0.854 0.500
C4 0.854 0.354 0.500
```

Crystal system: tetragonal
Energy above the lowest structure with this stoichiometry: 236 meV per atom
Formation enthalpy at 0 K: 0.76 eV/atom
Energy: -72.4 eV for the cell shown

# 7
A geometry-optimized ReBW2 structure. Source: the Alexandria database, functional PBE.

Cell and atoms, written as CIF:
```
data_ReBW2
_cell_length_a 7.232
_cell_length_b 7.232
_cell_length_c 4.457
_cell_angle_alpha 90.00
_cell_angle_beta 90.00
_cell_angle_gamma 90.00
_space_group_name_H-M_alt 'P 1'
_space_group_IT_number 1
_space_group_name_Hall 'P 1'
loop_
_atom_site_label
_atom_site_fract_x
_atom_site_fract_y
_atom_site_fract_z
Re1 0.000 0.000 0.000
Re2 0.000 0.500 0.250
Re3 0.500 0.000 0.750
Re4 0.500 0.500 0.500
B1 0.000 0.000 0.500
B2 0.000 0.500 0.750
B3 0.500 0.000 0.250
B4 0.500 0.500 0.000
W1 0.147 0.250 0.625
W2 0.250 0.647 0.875
W3 0.250 0.853 0.375
W4 0.353 0.250 0.125
W5 0.647 0.750 0.125
W6 0.750 0.147 0.375
W7 0.750 0.353 0.875
W8 0.853 0.750 0.625
```

Crystal system: tetragonal
Formation enthalpy at 0 K: 0.38 eV/atom
Energy: -174.0 eV for the cell shown

# 8
A geometry-optimized SbBr2N structure. Source: the Alexandria database, functional PBE.

Cell and atoms, written as CIF:
```
data_SbBr2N
_cell_length_a 3.638
_cell_length_b 3.638
_cell_length_c 26.506
_cell_angle_alpha 90.00
_cell_angle_beta 90.00
_cell_angle_gamma 120.00
_space_group_name_H-M_alt 'P 1'
_space_group_IT_number 1
_space_group_name_Hall 'P 1'
loop_
_atom_site_label
_atom_site_fract_x
_atom_site_fract_y
_atom_site_fract_z
Sb1 0.000 0.000 0.000
Sb2 0.333 0.667 0.667
Sb3 0.667 0.333 0.333
Br1 0.000 0.000 0.100
Br2 0.000 0.000 0.900
Br3 0.333 0.667 0.566
Br4 0.333 0.667 0.767
Br5 0.667 0.333 0.233
Br6 0.667 0.333 0.434
N1 0.000 0.000 0.500
N2 0.333 0.667 0.167
N3 0.667 0.333 0.833
```

Crystal system: trigonal
Energy above the lowest structure with this stoichiometry: 667 meV per atom
Energy: -32.5 eV for the cell shown
Formation energy from raw total energies: 1.236 eV per atom

# 9
A geometry-optimized CdTc2SF structure. Source: the Alexandria database, functional PBE.

Cell and atoms, written as CIF:
```
data_CdTc2SF
_cell_length_a 4.134
_cell_length_b 4.134
_cell_length_c 5.268
_cell_angle_alpha 90.00
_cell_angle_beta 90.00
_cell_angle_gamma 90.00
_space_group_name_H-M_alt 'P 1'
_space_group_IT_number 1
_space_group_name_Hall 'P 1'
loop_
_atom_site_label
_atom_site_fract_x
_atom_site_fract_y
_atom_site_fract_z
Cd1 0.000 0.000 0.000
Tc1 0.000 0.500 0.500
Tc2 0.500 0.000 0.500
S1 0.500 0.500 0.000
F1 0.500 0.500 0.500
```

Crystal system: tetragonal
Energy: -24.2 eV for the cell shown
Formation energy from raw total energies: 0.683 eV per atom

# 10
A geometry-optimized Cs5Ba3Cl12 structure. Source: the Alexandria database, functional PBE.

Cell and atoms, written as CIF:
```
data_Cs5Ba3Cl12
_cell_length_a 16.560
_cell_length_b 16.560
_cell_length_c 16.560
_cell_angle_alpha 109.47
_cell_angle_beta 109.47
_cell_angle_gamma 109.47
_space_group_name_H-M_alt 'P 1'
_space_group_IT_number 1
_space_group_name_Hall 'P 1'
loop_
_atom_site_label
_atom_site_fract_x
_atom_site_fract_y
_atom_site_fract_z
Cs1 0.000 0.000 0.000
Cs2 0.000 0.000 0.500
Cs3 0.000 0.500 0.000
Cs4 0.000 0.500 0.500
Cs5 0.125 0.750 0.875
Cs6 0.125 0.875 0.250
Cs7 0.250 0.125 0.875
Cs8 0.250 0.625 0.375
Cs9 0.375 0.250 0.625
Cs10 0.375 0.625 0.750
Cs11 0.500 0.000 0.000
Cs12 0.500 0.000 0.500
Cs13 0.500 0.500 0.000
Cs14 0.500 0.500 0.500
Cs15 0.625 0.375 0.250
Cs16 0.625 0.750 0.375
Cs17 0.750 0.375 0.625
Cs18 0.750 0.875 0.125
Cs19 0.875 0.125 0.750
Cs20 0.875 0.250 0.125
Ba1 0.125 0.250 0.375
Ba2 0.125 0.375 0.750
Ba3 0.250 0.375 0.125
Ba4 0.250 0.875 0.625
Ba5 0.375 0.125 0.250
Ba6 0.375 0.750 0.125
Ba7 0.625 0.250 0.875
Ba8 0.625 0.875 0.750
Ba9 0.750 0.125 0.375
Ba10 0.750 0.625 0.875
Ba11 0.875 0.625 0.250
Ba12 0.875 0.750 0.625
Cl1 0.066 0.639 0.396
Cl2 0.066 0.927 0.670
Cl3 0.073 0.243 0.139
Cl4 0.073 0.330 0.934
Cl5 0.104 0.743 0.670
Cl6 0.104 0.861 0.434
Cl7 0.139 0.073 0.243
Cl8 0.139 0.566 0.896
Cl9 0.170 0.243 0.604
Cl10 0.170 0.427 0.566
Cl11 0.243 0.139 0.073
Cl12 0.243 0.604 0.170
Cl13 0.257 0.330 0.896
Cl14 0.257 0.427 0.361
Cl15 0.330 0.896 0.257
Cl16 0.330 0.934 0.073
Cl17 0.361 0.257 0.427
Cl18 0.361 0.604 0.934
Cl19 0.396 0.066 0.639
Cl20 0.396 0.830 0.757
Cl21 0.427 0.361 0.257
Cl22 0.427 0.566 0.170
Cl23 0.434 0.104 0.861
Cl24 0.434 0.830 0.573
Cl25 0.566 0.170 0.427
Cl26 0.566 0.896 0.139
Cl27 0.573 0.434 0.830
Cl28 0.573 0.639 0.743
Cl29 0.604 0.170 0.243
Cl30 0.604 0.934 0.361
Cl31 0.639 0.396 0.066
Cl32 0.639 0.743 0.573
Cl33 0.670 0.066 0.927
Cl34 0.670 0.104 0.743
Cl35 0.743 0.573 0.639
Cl36 0.743 0.670 0.104
Cl37 0.757 0.396 0.830
Cl38 0.757 0.861 0.927
Cl39 0.830 0.573 0.434
Cl40 0.830 0.757 0.396
Cl41 0.861 0.434 0.104
Cl42 0.861 0.927 0.757
Cl43 0.896 0.139 0.566
Cl44 0.896 0.257 0.330
Cl45 0.927 0.670 0.066
Cl46 0.927 0.757 0.861
Cl47 0.934 0.073 0.330
Cl48 0.934 0.361 0.604
```

Crystal system: cubic
Energy: -285.3 eV for the cell shown
Formation energy from raw total energies: -1.957 eV per atom

# 11
A geometry-optimized PuMg4Cd8 structure. Source: the Alexandria database, functional PBE.

Cell and atoms, written as CIF:
```
data_PuMg4Cd8
_cell_length_a 7.627
_cell_length_b 7.627
_cell_length_c 7.627
_cell_angle_alpha 98.90
_cell_angle_beta 98.90
_cell_angle_gamma 133.67
_space_group_name_H-M_alt 'P 1'
_space_group_IT_number 1
_space_group_name_Hall 'P 1'
loop_
_atom_site_label
_atom_site_fract_x
_atom_site_fract_y
_atom_site_fract_z
Pu1 0.000 0.000 0.000
Mg1 0.000 0.000 0.500
Mg2 0.000 0.500 0.000
Mg3 0.500 0.000 0.000
Mg4 0.500 0.500 0.500
Cd1 0.000 0.346 0.346
Cd2 0.000 0.654 0.654
Cd3 0.285 0.500 0.785
Cd4 0.346 0.000 0.346
Cd5 0.500 0.285 0.785
Cd6 0.500 0.715 0.215
Cd7 0.654 0.000 0.654
Cd8 0.715 0.500 0.215
```

Crystal system: tetragonal
Formation enthalpy at 0 K: -0.08 eV/atom
Energy: -29.1 eV for the cell shown

# 12
A geometry-optimized GaSe2F structure. Source: the Alexandria database, functional PBE.

Cell and atoms, written as CIF:
```
data_GaSe2F
_cell_length_a 6.399
_cell_length_b 6.399
_cell_length_c 6.399
_cell_angle_alpha 90.00
_cell_angle_beta 90.00
_cell_angle_gamma 90.00
_space_group_name_H-M_alt 'P 1'
_space_group_IT_number 1
_space_group_name_Hall 'P 1'
loop_
_atom_site_label
_atom_site_fract_x
_atom_site_fract_y
_atom_site_fract_z
Ga1 0.000 0.000 0.000
Ga2 0.000 0.500 0.500
Ga3 0.500 0.000 0.500
Ga4 0.500 0.500 0.000
Se1 0.250 0.250 0.250
Se2 0.250 0.250 0.750
Se3 0.250 0.750 0.250
Se4 0.250 0.750 0.750
Se5 0.750 0.250 0.250
Se6 0.750 0.250 0.750
Se7 0.750 0.750 0.250
Se8 0.750 0.750 0.750
F1 0.000 0.000 0.500
F2 0.000 0.500 0.000
F3 0.500 0.000 0.000
F4 0.500 0.500 0.500
```

Crystal system: cubic
Energy above the lowest structure with this stoichiometry: 254 meV per atom
Energy: -51.7 eV for the cell shown
Formation energy from raw total energies: -0.263 eV per atom

# 13
A geometry-optimized CsRb2Ca2Cl7 structure. Source: the Alexandria database, functional PBE.

Cell and atoms, written as CIF:
```
data_CsRb2Ca2Cl7
_cell_length_a 5.437
_cell_length_b 5.437
_cell_length_c 14.261
_cell_angle_alpha 100.98
_cell_angle_beta 100.98
_cell_angle_gamma 90.00
_space_group_name_H-M_alt 'P 1'
_space_group_IT_number 1
_space_group_name_Hall 'P 1'
loop_
_atom_site_label
_atom_site_fract_x
_atom_site_fract_y
_atom_site_fract_z
Cs1 0.000 0.000 0.000
Rb1 0.181 0.181 0.367
Rb2 0.819 0.819 0.633
Ca1 0.399 0.399 0.798
Ca2 0.601 0.601 0.202
Cl1 0.098 0.598 0.198
Cl2 0.300 0.300 0.603
Cl3 0.402 0.902 0.802
Cl4 0.500 0.500 0.000
Cl5 0.598 0.098 0.198
Cl6 0.700 0.700 0.397
Cl7 0.902 0.402 0.802
```

Crystal system: monoclinic
Energy: -46.2 eV for the cell shown
Formation energy from raw total energies: -2.209 eV per atom

# 14
A geometry-optimized CaURh2 structure. Source: the Alexandria database, functional PBE.

Cell and atoms, written as CIF:
```
data_CaURh2
_cell_length_a 3.577
_cell_length_b 3.577
_cell_length_c 27.152
_cell_angle_alpha 90.00
_cell_angle_beta 90.00
_cell_angle_gamma 120.00
_space_group_name_H-M_alt 'P 1'
_space_group_IT_number 1
_space_group_name_Hall 'P 1'
loop_
_atom_site_label
_atom_site_fract_x
_atom_site_fract_y
_atom_site_fract_z
Ca1 0.000 0.000 0.000
Ca2 0.333 0.667 0.667
Ca3 0.667 0.333 0.333
U1 0.000 0.000 0.500
U2 0.333 0.667 0.167
U3 0.667 0.333 0.833
Rh1 0.000 0.000 0.107
Rh2 0.000 0.000 0.893
Rh3 0.333 0.667 0.560
Rh4 0.333 0.667 0.773
Rh5 0.667 0.333 0.227
Rh6 0.667 0.333 0.440
```

Crystal system: trigonal
Formation enthalpy at 0 K: -0.01 eV/atom
Energy: -84.1 eV for the cell shown